No. 1
# AcY6Tm4

AcY6Tm4 after structural relaxation (PBE-GGA, Alexandria).

Results
- ΔE_f (eV per atom) = 0.134

Lattice parameters (Å, degrees): 5.719 9.859 25.689 90.00 90.00 90.00
Space group Cmcm (No. 63)
Unique sites:
Ac: 0.000 0.171 0.250
Y: 0.000 0.162 0.679
Y: 0.000 0.170 0.098
Y: 0.000 0.495 0.750
Y: 0.000 0.500 0.000
Tm: 0.000 0.165 0.541
Tm: 0.000 0.495 0.622



No. 2
# SrSc2Te

SrSc2Te after structural relaxation (PBE-GGA, Alexandria).

Results
- energy relative to the elements, uncorrected (eV per atom) = -0.306

Lattice parameters (Å, degrees): 3.750 3.750 8.632 90.00 90.00 90.00
Space group P4/mmm (No. 123)
Unique sites:
Sr: 0.000 0.000 0.000
Sc: 0.500 0.500 0.320
Te: 0.000 0.000 0.500



No. 3
# LaPm2In9

LaPm2In9 after structural relaxation (PBE-GGA, Alexandria).

Results
- ΔE_f (eV per atom) = -0.474

Lattice parameters (Å, degrees): 4.728 4.728 14.183 90.00 90.00 90.00
Space group P4/mmm (No. 123)
Unique sites:
La: 0.000 0.000 0.000
Pm: 0.000 0.000 0.336
In: 0.000 0.500 0.170
In: 0.000 0.500 0.500
In: 0.500 0.500 0.000
In: 0.500 0.500 0.334



No. 4
# Sr2YP

Sr2YP after structural relaxation (PBE-GGA, Alexandria).

Results
- ΔE_f (eV per atom) = -0.641

Lattice parameters (Å, degrees): 4.1458 4.1458 31.1878 90.00 90.00 120.00
Space group R3m (No. 160, hexagonal axes)
Unique sites:
Sr: 0.0000 0.0000 0.0000
Sr: 0.0000 0.0000 0.2132
Y: 0.0000 0.0000 0.7754
P: 0.0000 0.0000 0.4857



No. 5
# Dy2ScSb

Dy2ScSb after structural relaxation (PBE-GGA, Alexandria).

Results
- energy relative to the elements, uncorrected (eV per atom) = -0.467
- ΔE to the lowest computed polymorph (eV per atom) = 0.0425

Lattice parameters (Å, degrees): 4.673 4.673 4.706 90.00 90.00 90.00
Space group P4/mmm (No. 123)
Unique sites:
Dy: 0.000 0.500 0.000
Sc: 0.000 0.000 0.500
Sb: 0.500 0.500 0.500



No. 6
# SrGaAsSe2

SrGaAsSe2 after structural relaxation (PBE-GGA, Alexandria).

Results
- energy relative to the elements, uncorrected (eV per atom) = -0.488
- ΔE to the lowest computed polymorph (eV per atom) = 0.0000

Lattice parameters (Å, degrees): 5.243 5.243 4.805 90.00 90.00 90.00
Space group P4/mmm (No. 123)
Unique sites:
Sr: 0.000 0.000 0.000
Ga: 0.500 0.500 0.500
As: 0.500 0.500 0.000
Se: 0.000 0.500 0.500



No. 7
# Hf8Fe2Os

Hf8Fe2Os after structural relaxation (PBE-GGA, Alexandria).

Results
- ΔE_f (eV per atom) = -0.079

Lattice parameters (Å, degrees): 7.468 12.135 5.028 90.00 108.53 90.00
Space group C2/m (No. 12)
Unique sites:
Hf: 0.000 0.223 0.000
Hf: 0.127 0.500 0.820
Hf: 0.209 0.124 0.587
Fe: 0.000 0.298 0.500
Os: 0.000 0.000 0.000



No. 8
# TlSiNi2

TlSiNi2 after structural relaxation (PBE-GGA, Alexandria).

Results
- energy relative to the elements, uncorrected (eV per atom) = 0.257
- ΔE to the lowest computed polymorph (eV per atom) = 0.3224

Lattice parameters (Å, degrees): 3.726 3.726 8.387 90.00 90.00 90.00
Space group I-4m2 (No. 119)
Unique sites:
Tl: 0.000 0.000 0.000
Si: 0.000 0.500 0.250
Ni: 0.000 0.000 0.500
Ni: 0.000 0.500 0.750



> Number 2 is which compound?

SrSc2Te